Version one
Density functional theory data (PBE-GGA) for crystalline CsSi3W at its relaxed geometry.

Results
* Fermi-level density of states: 1.9 states/eV/f.u.
* calculated volume: 23.5 Å³/atom

abc: 4.898 4.898 4.898
angles: 90.00 90.00 90.00
Space group Pm-3m (No. 221)
Symmetry-distinct sites (fractional):
1 Cs 0.000 0.000 0.000
2 Si 0.000 0.500 0.500
3 W 0.500 0.500 0.500

=====

Version two
Density functional theory data (PBE-GGA) for crystalline CsSi3W at its relaxed geometry.

Results
* Fermi-level density of states: 9.9 states/eV/f.u.
* calculated volume: 26.4 Å³/atom

abc: 5.089 5.089 5.089
angles: 90.00 90.00 90.00
Space group Pm-3m (No. 221)
Symmetry-distinct sites (fractional):
1 Cs 0.000 0.000 0.000
2 Si 0.000 0.000 0.500
3 W 0.500 0.500 0.500

=====

Most stable structure among those shown: version one.